# PBE-GGA ScPaTe4, optimized geometry
# Volume, Å³/f.u.: 217
# Raw formation energy, eV per atom: -0.9684
data_ScPaTe4
_cell_length_a 7.038
_cell_length_b 4.277
_cell_length_c 7.213
_cell_angle_alpha 90.00
_cell_angle_beta 90.43
_cell_angle_gamma 90.00
_symmetry_space_group_name_H-M 'P 1 2/m 1'
_symmetry_Int_Tables_number 10
loop_
_symmetry_equiv_pos_as_xyz
'x,y,z'
'-x,-y,-z'
'-x,y,-z'
'x,-y,z'
loop_
_atom_site_label
_atom_site_type_symbol
_atom_site_fract_x
_atom_site_fract_y
_atom_site_fract_z
_atom_site_occupancy
Sc1 Sc 0.000 0.000 0.000 1
Pa1 Pa 0.000 0.500 0.500 1
Te1 Te 0.240 0.500 0.162 1
Te2 Te 0.250 0.000 0.673 1



# PBE-GGA TlOsCl3, optimized geometry
# Volume, Å³/f.u.: 119
# Raw formation energy, eV per atom: -0.0853
data_TlOsCl3
_cell_length_a 4.914
_cell_length_b 4.914
_cell_length_c 4.914
_cell_angle_alpha 90.00
_cell_angle_beta 90.00
_cell_angle_gamma 90.00
_symmetry_space_group_name_H-M 'P m -3 m'
_symmetry_Int_Tables_number 221
_symmetry_space_group_name_Hall '-P 4 2 3'
loop_
_atom_site_label
_atom_site_type_symbol
_atom_site_fract_x
_atom_site_fract_y
_atom_site_fract_z
_atom_site_occupancy
Tl1 Tl 0.000 0.000 0.000 1
Os1 Os 0.500 0.500 0.500 1
Cl1 Cl 0.000 0.500 0.500 1



- Among the records above, which one has the highest raw formation energy?
  TlOsCl3